# 1
VASP calculation (PBE-GGA) on a relaxed structure of Tb6YTh2.

- energy of formation (meV per atom) = 41
- final energy (eV per cell) = -48.72
- SG = C2/m, No. 12

Unit cell a=6.1852 b=6.1745 c=8.7532 alpha=90.02 beta=90.02 gamma=59.95
With the nearest neighbours (Å) after each atom.
Fractional coordinates of all 9 atoms:
Th 0.3396 0.5002 0.8352  1 Th 3.50, 10 Tb 3.52-3.61, 1 Y 3.61
Th 0.6604 0.4998 0.1648  1 Th 3.50, 10 Tb 3.52-3.61, 1 Y 3.61
Tb 0.6642 0.1717 0.4999  7 Tb 3.51-3.61, 3 Y 3.55-3.59, 2 Th 3.56
Tb 0.3358 0.8283 0.5001  7 Tb 3.51-3.61, 3 Y 3.55-3.59, 2 Th 3.56
Tb 0.9973 0.1680 0.8353  4 Th 3.52-3.61, 7 Tb 3.54-3.61, 1 Y 3.59
Tb 0.3346 0.1678 0.1647  4 Th 3.52-3.61, 7 Tb 3.54-3.61, 1 Y 3.59
Tb 0.6654 0.8322 0.8353  4 Th 3.52-3.61, 7 Tb 3.54-3.61, 1 Y 3.59
Tb 0.0027 0.8320 0.1647  4 Th 3.52-3.61, 7 Tb 3.54-3.61, 1 Y 3.59
Y 0.0000 0.5000 0.5000  10 Tb 3.55-3.59, 2 Th 3.61

***

# 2
VASP calculation (PBE-GGA) on a relaxed structure of Tb7Y2Th3.

- energy of formation (meV per atom) = 354
- final energy (eV per cell) = -63.35
- SG = P-1, No. 2

Unit cell a=5.5165 b=6.1103 c=12.1899 alpha=91.44 beta=89.97 gamma=90.13
With the nearest neighbours (Å) after each atom.
Fractional coordinates of all 12 atoms:
Th 0.0000 0.0605 0.6444  8 Tb 3.50-3.79, 2 Y 3.53-3.54, 1 Th 3.58
Th 0.0000 0.9395 0.3556  8 Tb 3.50-3.79, 2 Y 3.53-3.54, 1 Th 3.58
Th 0.5000 0.5000 0.0000  6 Tb 3.35-3.55, 2 Y 3.42
Tb 0.5016 0.2385 0.4548  2 Tb 3.14-3.35, 2 Y 3.18-3.38, 2 Th 3.50-3.51
Tb 0.0000 0.0000 0.0000  6 Tb 3.44-3.49
Tb 0.9999 0.4430 0.1804  2 Y 3.16, 2 Tb 3.44-3.53
Tb 0.4999 0.0809 0.1721  2 Y 3.18-3.44, 1 Th 3.35, 5 Tb 3.49-3.55
Tb 0.4984 0.7615 0.5452  2 Tb 3.14-3.35, 2 Y 3.18-3.38, 2 Th 3.50-3.51
Tb 0.0001 0.5570 0.8196  2 Y 3.16, 2 Tb 3.44-3.53
Tb 0.5001 0.9191 0.8279  2 Y 3.18-3.44, 1 Th 3.35, 5 Tb 3.49-3.55
Y 0.4998 0.6097 0.2769  6 Tb 3.16-3.44, 2 Th 3.42-3.53
Y 0.5002 0.3903 0.7231  6 Tb 3.16-3.44, 2 Th 3.42-3.53